1.
A plane-wave DFT calculation with PBEsol was carried out for an optimized crystal structure of CoNiP.

Total magnetic moment = 0.002 μB per formula unit
E = -7.140 eV per atom
Energy of formation from the pure elements = -0.578 eV per atom

Structure (CIF):
```
data_CoNiP
_chemical_formula_sum 'Co3 Ni3 P3'
_cell_length_a 5.7519
_cell_length_b 5.7519
_cell_length_c 3.2727
_cell_angle_alpha 90.00
_cell_angle_beta 90.00
_cell_angle_gamma 120.00
_symmetry_space_group_name_H-M 'P -6 2 m'
_symmetry_Int_Tables_number 189
_symmetry_space_group_name_Hall 'P -6 -2'
loop_
_atom_site_label
_atom_site_fract_x
_atom_site_fract_y
_atom_site_fract_z
_atom_site_occupancy
Co1 0.0000 0.3927 0.0000 1
Ni1 0.0000 0.7395 0.5000 1
P1 0.0000 0.0000 0.0000 1
P2 0.3333 0.6667 0.5000 1
```

---

2.
A plane-wave DFT calculation with PBEsol was carried out for an optimized crystal structure of CoNi2P.

Total magnetic moment = 0.003 μB per formula unit
E = -6.765 eV per atom
Energy of formation from the pure elements = -0.304 eV per atom

Structure (CIF):
```
data_CoNi2P
_chemical_formula_sum 'Co2 Ni4 P2'
_cell_length_a 3.3693
_cell_length_b 2.6053
_cell_length_c 9.5286
_cell_angle_alpha 90.00
_cell_angle_beta 90.00
_cell_angle_gamma 90.00
_symmetry_space_group_name_H-M 'A m m 2'
_symmetry_Int_Tables_number 38
loop_
_symmetry_equiv_pos_as_xyz
'x,y,z'
'-x,-y,z'
'-x,y,z'
'x,-y,z'
'x,y+1/2,z+1/2'
'-x,-y+1/2,z+1/2'
'-x,y+1/2,z+1/2'
'x,-y+1/2,z+1/2'
loop_
_atom_site_label
_atom_site_fract_x
_atom_site_fract_y
_atom_site_fract_z
_atom_site_occupancy
Co1 0.0000 0.0000 0.0000 1
Ni1 0.0000 0.0000 0.2704 1
Ni2 0.5000 0.0000 0.6462 1
P1 0.5000 0.0000 0.4162 1
```

---

> Which value of total magnetic moment does entry 2 give?

0.003 μB per formula unit

---

Repeat the second record exactly.
A plane-wave DFT calculation with PBEsol was carried out for an optimized crystal structure of CoNi2P.

Total magnetic moment = 0.003 μB per formula unit
E = -6.765 eV per atom
Energy of formation from the pure elements = -0.304 eV per atom

Structure (CIF):
```
data_CoNi2P
_chemical_formula_sum 'Co2 Ni4 P2'
_cell_length_a 3.3693
_cell_length_b 2.6053
_cell_length_c 9.5286
_cell_angle_alpha 90.00
_cell_angle_beta 90.00
_cell_angle_gamma 90.00
_symmetry_space_group_name_H-M 'A m m 2'
_symmetry_Int_Tables_number 38
loop_
_symmetry_equiv_pos_as_xyz
'x,y,z'
'-x,-y,z'
'-x,y,z'
'x,-y,z'
'x,y+1/2,z+1/2'
'-x,-y+1/2,z+1/2'
'-x,y+1/2,z+1/2'
'x,-y+1/2,z+1/2'
loop_
_atom_site_label
_atom_site_fract_x
_atom_site_fract_y
_atom_site_fract_z
_atom_site_occupancy
Co1 0.0000 0.0000 0.0000 1
Ni1 0.0000 0.0000 0.2704 1
Ni2 0.5000 0.0000 0.6462 1
P1 0.5000 0.0000 0.4162 1
```

---

> Which value of energy of formation from the pure elements does entry 2 give?

-0.304 eV per atom